# Ba2USb2O2 (GGA-PBE, relaxed)
# Total magnetic moment: 2.6 Bohr magnetons per cell
# Uncorrected formation energy: -1.6794 eV/atom
data_Ba2USb2O2
_symmetry_space_group_name_H-M 'I 4/m m m'
_symmetry_Int_Tables_number 139
_symmetry_space_group_name_Hall '-I 4 2'
_cell_length_a 4.6020
_cell_length_b 4.6020
_cell_length_c 17.4092
_cell_angle_alpha 90.00
_cell_angle_beta 90.00
_cell_angle_gamma 90.00
loop_
_atom_site_label
_atom_site_fract_x
_atom_site_fract_y
_atom_site_fract_z
Ba1 0.0000 0.0000 0.1214
U1 0.0000 0.0000 0.5000
Sb1 0.0000 0.0000 0.3214
O1 0.0000 0.5000 0.0000